No. 1
Density functional theory data (PBE) for TcMoRu2 after structural relaxation.

Cell: 4.379 4.379 4.379 Å, 60.00 60.00 60.00°
Element x y z (fractional)
Ru1 0.250 0.250 0.250
Ru2 0.750 0.750 0.750
Mo1 0.000 0.000 0.000
Tc1 0.500 0.500 0.500

* energy relative to the lowest polymorph listed for this composition: 36.86 kJ/mol of atoms
* energy of formation: 1.6 eV/f.u.
* final energy: -9.530 eV/atom
* calculated density: 11.1 g/cm3

---

No. 2
Density functional theory data (PBE) for TcMoRu2 after structural relaxation.

Cell: 2.848 4.540 4.540 Å, 94.14 90.00 90.00°
Element x y z (fractional)
Tc1 0.500 0.422 0.422
Mo1 0.500 0.827 0.827
Ru1 0.000 0.916 0.334
Ru2 0.000 0.334 0.916

* energy relative to the lowest polymorph listed for this composition: 0.00 kJ/mol of atoms
* energy of formation: 0.1 eV/f.u.
* final energy: -9.912 eV/atom
* calculated density: 11.2 g/cm3

---

No. 3
Density functional theory data (PBE) for TcMoRu2 after structural relaxation.

Cell: 4.226 2.755 5.243 Å, 75.52 90.00 90.00°
Element x y z (fractional)
Mo1 0.500 0.569 0.764
Ru1 0.000 0.961 0.967
Ru2 0.500 0.284 0.285
Tc1 0.000 0.686 0.485

* energy relative to the lowest polymorph listed for this composition: 9.81 kJ/mol of atoms
* energy of formation: 0.5 eV/f.u.
* final energy: -9.811 eV/atom
* calculated density: 11.1 g/cm3